## w
Crystalline PuTl4S4 at its relaxed geometry, computed with PBE.

Geometry as CIF:
```
data_PuTl4S4
_cell_length_a 7.461
_cell_length_b 7.461
_cell_length_c 11.407
_cell_angle_alpha 90.00
_cell_angle_beta 90.00
_cell_angle_gamma 90.00
_space_group_name_H-M_alt 'I -4 2 m'
_space_group_IT_number 121
_space_group_name_Hall 'I -4 2'
loop_
_atom_site_label
_atom_site_type_symbol
_atom_site_fract_x
_atom_site_fract_y
_atom_site_fract_z
_atom_site_occupancy
Pu1 Pu 0.000 0.000 0.000 1
Tl1 Tl 0.000 0.000 0.332 1
Tl2 Tl 0.000 0.500 0.000 1
S1 S 0.185 0.185 0.146 1
```

Properties
DOS(E_F): 22.118 states/eV per cell
volume: 635.0 Å³/cell



## x
Crystalline PuTl4S4 at its relaxed geometry, computed with PBE.

Geometry as CIF:
```
data_PuTl4S4
_cell_length_a 14.297
_cell_length_b 4.126
_cell_length_c 10.567
_cell_angle_alpha 90.00
_cell_angle_beta 121.24
_cell_angle_gamma 90.00
_space_group_name_H-M_alt 'C 1 2/m 1'
_space_group_IT_number 12
loop_
_space_group_symop_operation_xyz
'x,y,z'
'-x,-y,-z'
'-x,y,-z'
'x,-y,z'
'x+1/2,y+1/2,z'
'-x+1/2,-y+1/2,-z'
'-x+1/2,y+1/2,-z'
'x+1/2,-y+1/2,z'
loop_
_atom_site_label
_atom_site_type_symbol
_atom_site_fract_x
_atom_site_fract_y
_atom_site_fract_z
_atom_site_occupancy
Pu1 Pu 0.000 0.000 0.000 1
Tl1 Tl 0.084 0.500 0.390 1
Tl2 Tl 0.200 0.000 0.777 1
S1 S 0.094 0.500 0.937 1
S2 S 0.168 0.000 0.280 1
```

Properties
DOS(E_F): 21.018 states/eV per cell
volume: 532.9 Å³/cell



Most stable structure - x; separation to the second - 253 meV per atom.



## w
Crystalline Pu3Tl4S8 at its relaxed geometry, computed with PBE.

Geometry as CIF:
```
data_Pu3Tl4S8
_cell_length_a 11.671
_cell_length_b 11.637
_cell_length_c 8.232
_cell_angle_alpha 90.00
_cell_angle_beta 134.83
_cell_angle_gamma 90.00
_space_group_name_H-M_alt 'C 1 2/m 1'
_space_group_IT_number 12
loop_
_space_group_symop_operation_xyz
'x,y,z'
'-x,-y,-z'
'-x,y,-z'
'x,-y,z'
'x+1/2,y+1/2,z'
'-x+1/2,-y+1/2,-z'
'-x+1/2,y+1/2,-z'
'x+1/2,-y+1/2,z'
loop_
_atom_site_label
_atom_site_type_symbol
_atom_site_fract_x
_atom_site_fract_y
_atom_site_fract_z
_atom_site_occupancy
Pu1 Pu 0.000 0.000 0.000 1
Pu2 Pu 0.250 0.250 0.500 1
Tl1 Tl 0.000 0.000 0.500 1
Tl2 Tl 0.000 0.500 0.000 1
Tl3 Tl 0.250 0.250 0.000 1
S1 S 0.000 0.234 0.000 1
S2 S 0.000 0.250 0.500 1
S3 S 0.219 0.000 0.986 1
S4 S 0.236 0.000 0.467 1
```

Properties
DOS(E_F): 77.954 states/eV per cell
volume: 792.9 Å³/cell



## x
Crystalline Pu3Tl4S8 at its relaxed geometry, computed with PBE.

Geometry as CIF:
```
data_Pu3Tl4S8
_cell_length_a 8.2035
_cell_length_b 8.2035
_cell_length_c 23.4343
_cell_angle_alpha 90.00
_cell_angle_beta 90.00
_cell_angle_gamma 120.00
_space_group_name_H-M_alt 'R -3 m'
_space_group_IT_number 166
_space_group_name_Hall '-R 3 2"'
loop_
_atom_site_label
_atom_site_type_symbol
_atom_site_fract_x
_atom_site_fract_y
_atom_site_fract_z
_atom_site_occupancy
Pu1 Pu 0.0000 0.5000 0.0000 1
Tl1 Tl 0.0000 0.0000 0.0000 1
Tl2 Tl 0.0000 0.0000 0.1425 1
Tl3 Tl 0.0000 0.0000 0.5000 1
S1 S 0.0000 0.0000 0.2756 1
S2 S 0.0321 0.5161 0.2701 1
```

Properties
DOS(E_F): 84.518 states/eV per cell
volume: 1365.8 Å³/cell



Most stable structure - x; separation to the second - 159 meV per atom.



## w
Crystalline TmPuS2 at its relaxed geometry, computed with PBE.

Geometry as CIF:
```
data_TmPuS2
_cell_length_a 3.8045
_cell_length_b 3.8045
_cell_length_c 20.5604
_cell_angle_alpha 90.00
_cell_angle_beta 90.00
_cell_angle_gamma 120.00
_space_group_name_H-M_alt 'R 3 m'
_space_group_IT_number 160
_space_group_name_Hall 'R 3 -2"'
loop_
_atom_site_label
_atom_site_type_symbol
_atom_site_fract_x
_atom_site_fract_y
_atom_site_fract_z
_atom_site_occupancy
Tm1 Tm 0.0000 0.0000 0.0000 1
Pu1 Pu 0.0000 0.0000 0.8254 1
S1 S 0.0000 0.0000 0.4083 1
S2 S 0.0000 0.0000 0.5857 1
```

Properties
DOS(E_F): 29.662 states/eV per cell
volume: 257.7 Å³/cell



## x
Crystalline TmPuS2 at its relaxed geometry, computed with PBE.

Geometry as CIF:
```
data_TmPuS2
_cell_length_a 3.892
_cell_length_b 5.518
_cell_length_c 7.819
_cell_angle_alpha 90.00
_cell_angle_beta 90.00
_cell_angle_gamma 90.00
_space_group_name_H-M_alt 'P m m n'
_space_group_IT_number 59
loop_
_space_group_symop_operation_xyz
'x,y,z'
'-x,-y,-z'
'-x+1/2,-y+1/2,z'
'x+1/2,y+1/2,-z'
'x+1/2,-y,-z'
'-x+1/2,y,z'
'-x,y+1/2,-z'
'x,-y+1/2,z'
loop_
_atom_site_label
_atom_site_type_symbol
_atom_site_fract_x
_atom_site_fract_y
_atom_site_fract_z
_atom_site_occupancy
Tm1 Tm 0.250 0.250 0.126 1
Pu1 Pu 0.250 0.250 0.626 1
S1 S 0.250 0.750 0.117 1
S2 S 0.250 0.750 0.629 1
```

Properties
DOS(E_F): 15.605 states/eV per cell
volume: 167.9 Å³/cell



Most stable structure - x; separation to the second - 93 meV per atom.



## w
Crystalline TmPuS2 at its relaxed geometry, computed with PBE.

Geometry as CIF:
```
data_TmPuS2
_cell_length_a 3.8433
_cell_length_b 3.8433
_cell_length_c 13.2656
_cell_angle_alpha 90.00
_cell_angle_beta 90.00
_cell_angle_gamma 120.00
_space_group_name_H-M_alt 'P 63/m m c'
_space_group_IT_number 194
_space_group_name_Hall '-P 6c 2c'
loop_
_atom_site_label
_atom_site_type_symbol
_atom_site_fract_x
_atom_site_fract_y
_atom_site_fract_z
_atom_site_occupancy
Tm1 Tm 0.0000 0.0000 0.0000 1
Pu1 Pu 0.3333 0.6667 0.2500 1
S1 S 0.3333 0.6667 0.6173 1
```

Properties
DOS(E_F): 19.045 states/eV per cell
volume: 169.7 Å³/cell



## x
Crystalline TmPuS2 at its relaxed geometry, computed with PBE.

Geometry as CIF:
```
data_TmPuS2
_cell_length_a 3.8775
_cell_length_b 3.8775
_cell_length_c 19.3300
_cell_angle_alpha 90.00
_cell_angle_beta 90.00
_cell_angle_gamma 120.00
_space_group_name_H-M_alt 'R -3 m'
_space_group_IT_number 166
_space_group_name_Hall '-R 3 2"'
loop_
_atom_site_label
_atom_site_type_symbol
_atom_site_fract_x
_atom_site_fract_y
_atom_site_fract_z
_atom_site_occupancy
Tm1 Tm 0.0000 0.0000 0.0000 1
Pu1 Pu 0.0000 0.0000 0.5000 1
S1 S 0.0000 0.0000 0.2533 1
```

Properties
DOS(E_F): 21.796 states/eV per cell
volume: 251.7 Å³/cell



Most stable structure - x; separation to the second - 45 meV per atom.



## w
Crystalline Tm2PuS4 at its relaxed geometry, computed with PBE.

Geometry as CIF:
```
data_Tm2PuS4
_cell_length_a 3.843
_cell_length_b 12.733
_cell_length_c 13.004
_cell_angle_alpha 90.00
_cell_angle_beta 90.00
_cell_angle_gamma 90.00
_space_group_name_H-M_alt 'C m c m'
_space_group_IT_number 63
_space_group_name_Hall '-C 2c 2'
loop_
_atom_site_label
_atom_site_type_symbol
_atom_site_fract_x
_atom_site_fract_y
_atom_site_fract_z
_atom_site_occupancy
Tm1 Tm 0.000 0.133 0.068 1
Pu1 Pu 0.000 0.382 0.250 1
S1 S 0.000 0.041 0.250 1
S2 S 0.000 0.228 0.620 1
S3 S 0.000 0.500 0.000 1
```

Properties
DOS(E_F): 59.842 states/eV per cell
volume: 636.2 Å³/cell



## x
Crystalline Tm2PuS4 at its relaxed geometry, computed with PBE.

Geometry as CIF:
```
data_Tm2PuS4
_cell_length_a 7.974
_cell_length_b 8.043
_cell_length_c 11.411
_cell_angle_alpha 90.00
_cell_angle_beta 90.00
_cell_angle_gamma 90.00
_space_group_name_H-M_alt 'I m m a'
_space_group_IT_number 74
_space_group_name_Hall '-I 2b 2'
loop_
_atom_site_label
_atom_site_type_symbol
_atom_site_fract_x
_atom_site_fract_y
_atom_site_fract_z
_atom_site_occupancy
Tm1 Tm 0.000 0.250 0.124 1
Tm2 Tm 0.250 0.250 0.750 1
Pu1 Pu 0.000 0.000 0.500 1
S1 S 0.000 0.018 0.748 1
S2 S 0.244 0.250 0.512 1
```

Properties
DOS(E_F): 50.085 states/eV per cell
volume: 731.8 Å³/cell



Most stable structure - w; separation to the second - 135 meV per atom.



## w
Crystalline PuUS at its relaxed geometry, computed with PBE.

Geometry as CIF:
```
data_PuUS
_cell_length_a 3.233
_cell_length_b 3.233
_cell_length_c 12.536
_cell_angle_alpha 90.00
_cell_angle_beta 90.00
_cell_angle_gamma 90.00
_space_group_name_H-M_alt 'I 4 m m'
_space_group_IT_number 107
_space_group_name_Hall 'I 4 -2'
loop_
_atom_site_label
_atom_site_type_symbol
_atom_site_fract_x
_atom_site_fract_y
_atom_site_fract_z
_atom_site_occupancy
Pu1 Pu 0.000 0.000 0.000 1
U1 U 0.000 0.000 0.282 1
S1 S 0.000 0.000 0.648 1
```

Properties
DOS(E_F): 20.664 states/eV per cell
volume: 131.0 Å³/cell



## x
Crystalline PuUS at its relaxed geometry, computed with PBE.

Geometry as CIF:
```
data_PuUS
_cell_length_a 12.186
_cell_length_b 3.585
_cell_length_c 5.648
_cell_angle_alpha 90.00
_cell_angle_beta 90.00
_cell_angle_gamma 90.00
_space_group_name_H-M_alt 'P n m a'
_space_group_IT_number 62
loop_
_space_group_symop_operation_xyz
'x,y,z'
'-x,-y,-z'
'-x+1/2,-y,z+1/2'
'x+1/2,y,-z+1/2'
'x+1/2,-y+1/2,-z+1/2'
'-x+1/2,y+1/2,z+1/2'
'-x,y+1/2,-z'
'x,-y+1/2,z'
loop_
_atom_site_label
_atom_site_type_symbol
_atom_site_fract_x
_atom_site_fract_y
_atom_site_fract_z
_atom_site_occupancy
Pu1 Pu 0.180 0.250 0.077 1
U1 U 0.053 0.750 0.217 1
S1 S 0.147 0.250 0.564 1
```

Properties
DOS(E_F): 23.099 states/eV per cell
volume: 246.8 Å³/cell



Most stable structure - x; separation to the second - 197 meV per atom.



## w
Crystalline Pu3US4 at its relaxed geometry, computed with PBE.

Geometry as CIF:
```
data_Pu3US4
_cell_length_a 6.798
_cell_length_b 3.886
_cell_length_c 6.833
_cell_angle_alpha 90.00
_cell_angle_beta 108.96
_cell_angle_gamma 90.00
_space_group_name_H-M_alt 'P 1 2/m 1'
_space_group_IT_number 10
loop_
_space_group_symop_operation_xyz
'x,y,z'
'-x,-y,-z'
'-x,y,-z'
'x,-y,z'
loop_
_atom_site_label
_atom_site_type_symbol
_atom_site_fract_x
_atom_site_fract_y
_atom_site_fract_z
_atom_site_occupancy
Pu1 Pu 0.000 0.000 0.000 1
Pu2 Pu 0.000 0.500 0.500 1
Pu3 Pu 0.500 0.000 0.500 1
U1 U 0.500 0.500 0.000 1
S1 S 0.253 0.000 0.750 1
S2 S 0.253 0.500 0.250 1
```

Properties
DOS(E_F): 25.770 states/eV per cell
volume: 170.7 Å³/cell



## x
Crystalline Pu3US4 at its relaxed geometry, computed with PBE.

Geometry as CIF:
```
data_Pu3US4
_cell_length_a 5.569
_cell_length_b 5.569
_cell_length_c 5.569
_cell_angle_alpha 90.00
_cell_angle_beta 90.00
_cell_angle_gamma 90.00
_space_group_name_H-M_alt 'P m -3 m'
_space_group_IT_number 221
_space_group_name_Hall '-P 4 2 3'
loop_
_atom_site_label
_atom_site_type_symbol
_atom_site_fract_x
_atom_site_fract_y
_atom_site_fract_z
_atom_site_occupancy
Pu1 Pu 0.000 0.000 0.500 1
U1 U 0.500 0.500 0.500 1
S1 S 0.000 0.000 0.000 1
S2 S 0.000 0.500 0.500 1
```

Properties
DOS(E_F): 26.215 states/eV per cell
volume: 172.7 Å³/cell



Most stable structure - x; separation to the second - 10 meV per atom.



## w
Crystalline PuU2S4 at its relaxed geometry, computed with PBE.

Geometry as CIF:
```
data_PuU2S4
_cell_length_a 3.797
_cell_length_b 12.897
_cell_length_c 12.976
_cell_angle_alpha 90.00
_cell_angle_beta 90.00
_cell_angle_gamma 90.00
_space_group_name_H-M_alt 'C m c m'
_space_group_IT_number 63
_space_group_name_Hall '-C 2c 2'
loop_
_atom_site_label
_atom_site_type_symbol
_atom_site_fract_x
_atom_site_fract_y
_atom_site_fract_z
_atom_site_occupancy
Pu1 Pu 0.000 0.112 0.250 1
U1 U 0.000 0.363 0.063 1
S1 S 0.000 0.000 0.000 1
S2 S 0.000 0.274 0.629 1
S3 S 0.000 0.452 0.250 1
```

Properties
DOS(E_F): 84.962 states/eV per cell
volume: 635.3 Å³/cell



## x
Crystalline PuU2S4 at its relaxed geometry, computed with PBE.

Geometry as CIF:
```
data_PuU2S4
_cell_length_a 8.197
_cell_length_b 8.197
_cell_length_c 8.210
_cell_angle_alpha 90.00
_cell_angle_beta 90.00
_cell_angle_gamma 90.00
_space_group_name_H-M_alt 'I -4 2 d'
_space_group_IT_number 122
_space_group_name_Hall 'I -4 2bw'
loop_
_atom_site_label
_atom_site_type_symbol
_atom_site_fract_x
_atom_site_fract_y
_atom_site_fract_z
_atom_site_occupancy
Pu1 Pu 0.000 0.000 0.000 1
U1 U 0.124 0.750 0.625 1
S1 S 0.079 0.673 0.950 1
```

Properties
DOS(E_F): 63.961 states/eV per cell
volume: 551.6 Å³/cell



Most stable structure - x; separation to the second - 72 meV per atom.